First-principles (GGA+U) data for crystalline MnAlPO2 at its relaxed geometry, as listed in Alexandria.

Summary:
Energy above the most stable polymorph in this dataset: 0 meV/atom

Structure (extended XYZ):
```
5
Lattice="3.587 0.000 0.000 0.000 3.587 0.000 0.000 0.000 5.458" Properties=species:S:1:pos:R:3 pbc="T T T"
Mn 1.794 1.794 2.729
Al 0.000 0.000 0.000
O 1.794 0.000 0.000
O 0.000 1.794 0.000
P 0.000 0.000 2.729
```